<A>
AgRhPb2: optimized geometry, GGA-PBEsol.

Values from the calculation:
Mass density ... 12.5 g cm⁻³
SG ... F-43m, No. 216

Cell lengths 6.926, 6.926, 6.926 Å; angles 90.00, 90.00, 90.00 degrees
Fractional positions:
Ag  0.000  0.000  0.000
Ag  0.000  0.500  0.500
Ag  0.500  0.000  0.500
Ag  0.500  0.500  0.000
Rh  0.250  0.250  0.250
Rh  0.250  0.750  0.750
Rh  0.750  0.250  0.750
Rh  0.750  0.750  0.250
Pb  0.000  0.000  0.500
Pb  0.000  0.500  0.000
Pb  0.250  0.250  0.750
Pb  0.250  0.750  0.250
Pb  0.500  0.000  0.000
Pb  0.500  0.500  0.500
Pb  0.750  0.250  0.250
Pb  0.750  0.750  0.750



<B>
AgRhPb2: optimized geometry, GGA-PBEsol.

Values from the calculation:
Mass density ... 12.0 g cm⁻³
SG ... Imm2, No. 44

Cell lengths 3.152, 4.427, 12.367 Å; angles 90.00, 90.00, 90.00 degrees
Fractional positions:
Ag  0.000  0.000  0.000
Ag  0.500  0.500  0.500
Rh  0.000  0.500  0.693
Rh  0.500  0.000  0.193
Pb  0.000  0.000  0.390
Pb  0.000  0.500  0.170
Pb  0.500  0.000  0.670
Pb  0.500  0.500  0.890



Which one sits at the top of the stability order? <B> does.



<A>
SiAgPb: optimized geometry, GGA-PBEsol.

Values from the calculation:
Mass density ... 9.0 g cm⁻³
SG ... P3m1, No. 156

Cell lengths 3.337, 3.337, 6.576 Å; angles 90.00, 90.00, 120.00 degrees
Fractional positions:
Si  0.000  0.000  0.000
Ag  0.333  0.667  0.736
Pb  0.667  0.333  0.361



<B>
SiAgPb: optimized geometry, GGA-PBEsol.

Values from the calculation:
Mass density ... 8.4 g cm⁻³
SG ... F-43m, No. 216

Cell lengths 6.484, 6.484, 6.484 Å; angles 90.00, 90.00, 90.00 degrees
Fractional positions:
Si  0.000  0.000  0.000
Si  0.000  0.500  0.500
Si  0.500  0.000  0.500
Si  0.500  0.500  0.000
Ag  0.250  0.250  0.250
Ag  0.250  0.750  0.750
Ag  0.750  0.250  0.750
Ag  0.750  0.750  0.250
Pb  0.000  0.000  0.500
Pb  0.000  0.500  0.000
Pb  0.500  0.000  0.000
Pb  0.500  0.500  0.500



Which one sits at the top of the stability order? <A> does.



<A>
Ag2Sn2Pb: optimized geometry, GGA-PBEsol.

Values from the calculation:
Mass density ... 9.6 g cm⁻³
SG ... P4/mbm, No. 127

Cell lengths 8.335, 8.335, 3.292 Å; angles 90.00, 90.00, 90.00 degrees
Fractional positions:
Ag  0.126  0.374  0.000
Ag  0.374  0.874  0.000
Ag  0.626  0.126  0.000
Ag  0.874  0.626  0.000
Sn  0.168  0.668  0.500
Sn  0.332  0.168  0.500
Sn  0.668  0.832  0.500
Sn  0.832  0.332  0.500
Pb  0.000  0.000  0.000
Pb  0.500  0.500  0.000



<B>
Ag2Sn2Pb: optimized geometry, GGA-PBEsol.

Values from the calculation:
Mass density ... 9.1 g cm⁻³
SG ... I4/mmm, No. 139

Cell lengths 4.373, 4.373, 12.539 Å; angles 90.00, 90.00, 90.00 degrees
Fractional positions:
Ag  0.000  0.500  0.250
Ag  0.000  0.500  0.750
Ag  0.500  0.000  0.250
Ag  0.500  0.000  0.750
Sn  0.000  0.000  0.113
Sn  0.000  0.000  0.887
Sn  0.500  0.500  0.387
Sn  0.500  0.500  0.613
Pb  0.000  0.000  0.500
Pb  0.500  0.500  0.000



Which one sits at the top of the stability order? <A> does.



<A>
AgPbW2: optimized geometry, GGA-PBEsol.

Values from the calculation:
Mass density ... 16.3 g cm⁻³
SG ... P4/mmm, No. 123

Cell lengths 4.822, 4.822, 2.994 Å; angles 90.00, 90.00, 90.00 degrees
Fractional positions:
Ag  0.000  0.000  0.000
Pb  0.500  0.500  0.000
W  0.000  0.500  0.500
W  0.500  0.000  0.500



<B>
AgPbW2: optimized geometry, GGA-PBEsol.

Values from the calculation:
Mass density ... 16.1 g cm⁻³
SG ... Immm, No. 71

Cell lengths 3.224, 4.587, 9.530 Å; angles 90.00, 90.00, 90.00 degrees
Fractional positions:
Ag  0.000  0.000  0.000
Ag  0.500  0.500  0.500
Pb  0.000  0.000  0.500
Pb  0.500  0.500  0.000
W  0.000  0.500  0.248
W  0.000  0.500  0.752
W  0.500  0.000  0.252
W  0.500  0.000  0.748



Which one sits at the top of the stability order? <B> does.